No. 1
First-principles (PBE-GGA) data for LaNd12Ho7 after structural relaxation, as listed in Alexandria via LeMat-Bulk.

Calculated values
The calculation puts the volume at 687.7 Å³ per cell. The calculation puts the density of states at the Fermi level at 35.05 states/eV/f.u. The value obtained for the total moment is 0.0 μB per formula unit. As for the symmetry: No. 148. Its offset from the most stable computed form is 0 meV/atom.

a = 9.464 Å, b = 9.464 Å, c = 9.464 Å
α = 107.90°, β = 107.90°, γ = 107.90°
Sites, in units of the cell vectors:
Ho (0.500, 0.500, 0.500)
Ho (0.321, 0.008, 0.894)
Ho (0.894, 0.321, 0.008)
Ho (0.008, 0.894, 0.321)
Ho (0.106, 0.679, 0.992)
Ho (0.992, 0.106, 0.679)
Ho (0.679, 0.992, 0.106)
Nd (0.052, 0.297, 0.409)
Nd (0.591, 0.948, 0.703)
Nd (0.624, 0.779, 0.330)
Nd (0.221, 0.670, 0.376)
Nd (0.779, 0.330, 0.624)
Nd (0.330, 0.624, 0.779)
Nd (0.376, 0.221, 0.670)
Nd (0.670, 0.376, 0.221)
Nd (0.297, 0.409, 0.052)
Nd (0.948, 0.703, 0.591)
Nd (0.409, 0.052, 0.297)
Nd (0.703, 0.591, 0.948)
La (0.000, 0.000, 0.000)



No. 2
First-principles (PBE-GGA) data for SbH3F6 after structural relaxation, as listed in Alexandria via LeMat-Bulk.

Calculated values
The calculation puts the total energy at -40.40 eV/cell. The calculation puts the volume at 134.0 Å³ per cell. The calculation puts the density of states at the Fermi level at 0.00 states/eV/f.u. The value obtained for the total moment is 0.0 μB per formula unit. As for the symmetry: No. 12.

a = 5.351 Å, b = 5.854 Å, c = 5.506 Å
α = 64.33°, β = 90.00°, γ = 117.20°
Sites, in units of the cell vectors:
Sb (0.500, 0.000, 0.500)
F (0.331, 0.175, 0.216)
F (0.671, 0.342, 0.539)
F (0.157, 0.825, 0.784)
F (0.843, 0.175, 0.216)
F (0.669, 0.825, 0.784)
F (0.329, 0.658, 0.461)
H (0.036, 0.072, 0.112)
H (0.964, 0.928, 0.888)
H (0.000, 0.000, 0.000)



No. 3
First-principles (PBE-GGA) data for FeHgCl after structural relaxation, as listed in Alexandria via LeMat-Bulk.

Calculated values
As for the formation energy from raw total energies: -0.09 eV per formula unit. The calculation puts the volume at 62.5 Å³ per cell. The calculation puts the density of states at the Fermi level at 2.09 states/eV/f.u. The value obtained for the total moment is 3.1 μB per formula unit. As for the symmetry: No. 156. Its offset from the most stable computed form is 0 meV/atom.

a = 3.300 Å, b = 3.300 Å, c = 6.630 Å
α = 90.00°, β = 90.00°, γ = 120.00°
Sites, in units of the cell vectors:
Hg (0.333, 0.667, 0.610)
Fe (0.667, 0.333, 0.304)
Cl (0.000, 0.000, 0.086)



No. 4
First-principles (PBE-GGA) data for Nd2AlZnPt6 after structural relaxation, as listed in Alexandria via LeMat-Bulk.

Calculated values
The calculation puts the total energy at -58.79 eV/cell. The calculation puts the volume at 211.4 Å³ per cell. The calculation puts the density of states at the Fermi level at 2.58 states/eV/f.u. The value obtained for the total moment is 0.0 μB per formula unit. As for the symmetry: No. 166.

a = 8.310 Å, b = 5.652 Å, c = 8.310 Å
α = 70.11°, β = 39.76°, γ = 89.99°
Sites, in units of the cell vectors:
Pt (0.243, 0.250, 0.499)
Pt (0.750, 0.757, 0.993)
Pt (0.750, 0.250, 0.993)
Pt (0.250, 0.750, 0.007)
Pt (0.250, 0.243, 0.007)
Pt (0.757, 0.750, 0.501)
Nd (0.295, 0.706, 0.589)
Nd (0.705, 0.294, 0.411)
Al (0.500, 0.500, 0.000)
Zn (0.000, 0.000, 0.000)



No. 5
First-principles (PBE-GGA) data for AlSb2IF after structural relaxation, as listed in Alexandria via LeMat-Bulk.

Calculated values
As for the formation energy from raw total energies: 0.04 eV per formula unit. The calculation puts the volume at 138.3 Å³ per cell. The calculation puts the density of states at the Fermi level at 3.49 states/eV/f.u. The value obtained for the total moment is 0.0 μB per formula unit. As for the symmetry: No. 123. Its offset from the most stable computed form is 0 meV/atom.

a = 4.715 Å, b = 4.715 Å, c = 6.219 Å
α = 90.00°, β = 90.00°, γ = 90.00°
Sites, in units of the cell vectors:
Sb (0.000, 0.500, 0.000)
Sb (0.500, 0.000, 0.000)
Al (0.500, 0.500, 0.500)
F (0.000, 0.000, 0.000)
I (0.000, 0.000, 0.500)



No. 6
First-principles (PBE-GGA) data for CaCeBi4Rh2 after structural relaxation, as listed in Alexandria via LeMat-Bulk.

Calculated values
The calculation puts the total energy at -40.35 eV/cell. The calculation puts the volume at 231.5 Å³ per cell. The calculation puts the density of states at the Fermi level at 10.73 states/eV/f.u. The value obtained for the total moment is 1.1 μB per formula unit. As for the symmetry: No. 123.

a = 4.876 Å, b = 4.876 Å, c = 9.737 Å
α = 90.00°, β = 90.00°, γ = 90.00°
Sites, in units of the cell vectors:
Bi (0.500, 0.000, 0.762)
Bi (0.000, 0.500, 0.238)
Bi (0.000, 0.500, 0.762)
Bi (0.500, 0.000, 0.238)
Ce (0.000, 0.000, 0.000)
Ca (0.000, 0.000, 0.500)
Rh (0.500, 0.500, 0.633)
Rh (0.500, 0.500, 0.367)



Among the records above, which one has the highest total moment? FeHgCl